This record from the Alexandria database describes a relaxed structure of Tm2BeCo5Si2. The functional is GGA-PBE.

Values from the calculation:
As for the density of states at the Fermi level: 5.0 states/eV/cell. Its uncorrected formation energy is -0.3534 eV per atom.

Structure (extended XYZ):
```
20
Lattice="3.149 0.000 0.000 0.000 9.271 0.000 0.000 0.000 9.271" Properties=species:S:1:pos:R:3 pbc="T T T"
Co 1.575 7.375 8.685
Co 1.575 0.586 7.375
Co 1.575 0.000 4.636
Co 1.575 8.685 1.896
Co 1.575 2.740 5.222
Co 1.575 6.532 4.049
Co 1.575 4.049 2.740
Co 1.575 4.636 0.000
Co 1.575 5.222 6.532
Co 1.575 1.896 0.586
Tm 0.000 6.255 1.619
Tm 0.000 1.619 3.016
Tm 0.000 7.652 6.255
Tm 0.000 3.016 7.652
Be 0.000 4.636 4.636
Be 0.000 0.000 0.000
Si 0.000 5.788 8.119
Si 0.000 3.483 1.152
Si 0.000 8.119 3.483
Si 0.000 1.152 5.788
```